Density functional theory data (PBE with a Hubbard U) for a relaxed structure of K2LiFeF6.

Results
raw total energy	-45.20	eV/cell
calculated volume	12.9	Å³ per atom

Cell lengths 5.673, 5.673, 5.673 Å; angles 60.00, 60.00, 60.00 degrees
Atoms (fractional coordinates):
K1 0.250 0.250 0.250
K2 0.750 0.750 0.750
Li1 0.000 0.000 0.000
Fe1 0.500 0.500 0.500
F1 0.262 0.262 0.738
F2 0.262 0.738 0.262
F3 0.262 0.738 0.738
F4 0.738 0.262 0.262
F5 0.738 0.262 0.738
F6 0.738 0.738 0.262